VASP calculation (PBE) on an optimized crystal structure of NpAsP2.

extended XYZ file:
```
4
Lattice="-2.272 -0.509 -3.108 -0.310 -3.514 -1.624 -5.781 -2.670 2.236" Properties=species:S:1:pos:R:3 pbc="T T T"
Np -4.181 -3.346 -1.248
P -6.320 -5.032 -1.835
P -2.043 -1.660 -0.661
As 0.000 0.000 0.000
```

* D(E_F): 7.569 states/eV/f.u.
* total energy: -7.22 eV/atom
* energy relative to the lowest polymorph listed for this composition: 206 meV per atom
* energy relative to the elements: -112.6 meV/atom